## Cs3CaFe2F9 (PBE+U)

Data for crystalline Cs3CaFe2F9 at its relaxed geometry.

a b c (Å): 6.219 6.219 7.647
angles (deg): 90.00 90.00 120.00
Each line ends with the local moment (μB).
Atoms (fractional coordinates):
1 Cs 0.333 0.667 0.669  0.00
2 F 0.500 0.000 0.000  0.04
3 Ca 0.000 0.000 0.500  0.01
4 Cs 0.667 0.333 0.331  0.00
5 Cs 0.000 0.000 0.000  0.00
6 F 0.173 0.347 0.324  0.02
7 F 0.827 0.653 0.676  0.02
8 F 0.500 0.500 0.000  0.04
9 Fe 0.667 0.333 0.841  3.82
10 F 0.173 0.827 0.324  0.02
11 Fe 0.333 0.667 0.159  3.82
12 F 0.827 0.173 0.676  0.02
13 F 0.653 0.827 0.324  0.02
14 F 0.347 0.173 0.676  0.02
15 F 0.000 0.500 0.000  0.04

Values from the calculation:
mass density = 4.68 g/cm3
DOS at the Fermi energy = 0.704 states/eV/atom
space-group type = P-3m1, No. 164
VASP energy = -4.924 eV/atom
spin magnetization = 8.0 Bohr magnetons per cell